1.
ZrSc2Ag2S6 | PBE | relaxed

Output
As for the calculated total energy: -5.994 eV per atom.

```
11
Lattice="3.210 -5.552 0.000 3.210 5.552 0.000 -0.050 0.000 6.428" Properties=species:S:1:pos:R:3 pbc="T T T"
Zr 0.000 0.000 0.000
Sc 3.210 1.852 0.000
Sc 3.210 -1.852 0.000
Ag 3.184 1.864 3.214
Ag 3.184 -1.864 3.214
S 2.145 3.713 1.462
S 4.224 3.713 4.966
S 2.127 0.000 1.464
S 4.242 0.000 4.964
S 2.145 -3.713 1.462
S 4.224 -3.713 4.966
```



2.
TbErTlGa | PBE | relaxed

Output
As for the calculated total energy: -4.071 eV per atom.

```
4
Lattice="0.000 3.687 3.687 3.687 0.000 3.687 3.687 3.687 0.000" Properties=species:S:1:pos:R:3 pbc="T T T"
Tb 0.000 0.000 0.000
Er 3.687 3.687 3.687
Tl 1.843 1.843 1.843
Ga 5.530 5.530 5.530
```



3.
Y3TaN | PBE | relaxed

Output
As for the calculated total energy: -6.318 eV per atom.

```
5
Lattice="5.365 0.000 0.000 0.000 5.365 0.000 0.000 0.000 5.365" Properties=species:S:1:pos:R:3 pbc="T T T"
Y 0.000 0.000 2.683
Y 0.000 2.683 0.000
Y 2.683 0.000 0.000
Ta 0.000 0.000 0.000
N 2.683 2.683 2.683
```



4.
Ba2AcCuO4 | PBE | relaxed

Output
As for the calculated total energy: -6.033 eV per atom.

```
8
Lattice="6.486 0.000 0.000 0.000 3.819 0.000 -2.467 0.000 6.204" Properties=species:S:1:pos:R:3 pbc="T T T"
Ba 0.000 0.000 0.000
Ba 3.243 1.909 0.000
Ac -1.233 1.909 3.102
Cu 2.009 0.000 3.102
O -0.393 0.000 4.594
O 0.939 1.909 1.701
O 3.079 1.909 4.503
O 4.412 0.000 1.611
```



5.
Li2RuF6 | PBE | relaxed

Output
As for the calculated total energy: -5.011 eV per atom.

```
18
Lattice="4.715 0.000 0.000 0.000 4.715 0.000 0.000 0.000 9.280" Properties=species:S:1:pos:R:3 pbc="T T T"
Li 0.000 0.000 1.548
Li 0.000 0.000 7.731
Li 2.358 2.358 3.091
Li 2.358 2.358 6.188
Ru 0.000 0.000 4.640
Ru 2.358 2.358 0.000
F 0.920 0.920 3.161
F 0.920 0.920 6.119
F 0.992 0.992 0.000
F 1.366 3.349 4.640
F 1.438 3.277 1.479
F 1.438 3.277 7.801
F 3.277 1.438 1.479
F 3.277 1.438 7.801
F 3.349 1.366 4.640
F 3.724 3.724 0.000
F 3.796 3.796 3.161
F 3.796 3.796 6.119
```



6.
Sn2Hg5Pb4 | PBE | relaxed

Output
As for the calculated total energy: -2.175 eV per atom.

```
11
Lattice="8.329 0.000 0.000 0.000 3.394 0.000 -1.362 0.000 10.955" Properties=species:S:1:pos:R:3 pbc="T T T"
Sn 0.121 0.000 3.152
Sn 6.845 0.000 7.803
Hg 0.000 0.000 0.000
Hg 1.381 0.000 9.110
Hg 3.142 0.000 3.966
Hg 3.824 0.000 6.989
Hg 5.585 0.000 1.845
Pb 0.953 1.697 6.095
Pb 2.728 1.697 1.056
Pb 4.238 1.697 9.899
Pb 6.013 1.697 4.860
```



7.
TlNiS2Cl | PBE | relaxed

Output
As for the calculated total energy: -3.725 eV per atom.

```
5
Lattice="4.343 0.000 0.000 0.000 4.343 0.000 0.000 0.000 6.752" Properties=species:S:1:pos:R:3 pbc="T T T"
Tl 0.000 0.000 0.000
Ni 2.171 2.171 3.376
S 0.000 2.171 3.376
S 2.171 0.000 3.376
Cl 2.171 2.171 0.000
```



8.
YAs2Pb | PBE | relaxed

Output
As for the calculated total energy: -5.491 eV per atom.

```
4
Lattice="2.083 1.203 7.143 -2.083 1.203 7.143 0.000 -2.405 7.143" Properties=species:S:1:pos:R:3 pbc="T T T"
Y 0.000 0.000 0.000
As 0.000 0.000 5.509
As 0.000 0.000 15.920
Pb 0.000 0.000 10.714
```



9.
Sr6GaHg5 | PBE | relaxed

Output
As for the calculated total energy: -1.725 eV per atom.

```
12
Lattice="-2.815 4.023 8.452 2.815 -4.023 8.452 2.815 4.023 -8.452" Properties=species:S:1:pos:R:3 pbc="T T T"
Sr 2.815 1.994 -2.789
Sr 0.000 1.978 0.000
Sr 2.815 1.994 2.789
Sr 0.000 2.029 5.663
Sr 0.000 6.068 0.000
Sr 0.000 2.029 11.241
Ga 2.815 0.000 0.000
Hg 0.000 0.000 2.813
Hg 2.815 0.000 5.656
Hg 0.000 0.000 8.452
Hg 0.000 4.023 2.796
Hg 0.000 0.000 14.090
```



10.
YOsC2 | PBE | relaxed

Output
As for the calculated total energy: -8.160 eV per atom.

```
4
Lattice="0.000 2.868 2.868 2.868 0.000 2.868 2.868 2.868 0.000" Properties=species:S:1:pos:R:3 pbc="T T T"
Y 0.000 0.000 0.000
Os 2.868 2.868 2.868
C 1.434 1.434 1.434
C 4.302 4.302 4.302
```



11.
KCd2In2 | PBE | relaxed

Output
As for the calculated total energy: -1.717 eV per atom.

```
10
Lattice="7.214 0.000 0.000 3.395 6.419 0.000 3.464 0.650 7.180" Properties=species:S:1:pos:R:3 pbc="T T T"
K 2.541 1.672 1.873
K 11.532 5.397 5.307
Cd 4.562 1.649 5.677
Cd 7.278 2.931 5.433
Cd 6.795 4.138 1.747
Cd 9.511 5.420 1.504
In 8.032 5.323 7.106
In 7.899 5.557 4.020
In 6.174 1.511 3.160
In 6.041 1.745 0.074
```



12.
CeSnBi | PBE | relaxed

Output
As for the calculated total energy: -5.039 eV per atom.

```
3
Lattice="4.623 0.000 0.000 0.000 4.647 0.000 0.000 0.000 4.691" Properties=species:S:1:pos:R:3 pbc="T T T"
Ce 0.000 0.000 0.000
Sn 2.312 2.324 0.000
Bi 0.000 2.324 2.346
```



13.
LaPrPdPb | PBE | relaxed

Output
As for the calculated total energy: -5.238 eV per atom.

```
4
Lattice="0.000 3.851 3.851 3.851 0.000 3.851 3.851 3.851 0.000" Properties=species:S:1:pos:R:3 pbc="T T T"
La 0.000 0.000 0.000
Pr 3.851 3.851 3.851
Pd 5.776 5.776 5.776
Pb 1.925 1.925 1.925
```



14.
AuBrCl3 | PBE | relaxed

Output
As for the calculated total energy: -2.182 eV per atom.

```
20
Lattice="11.163 0.000 0.000 0.000 6.310 0.000 -5.094 0.000 9.685" Properties=species:S:1:pos:R:3 pbc="T T T"
Au 2.147 0.621 1.038
Au -0.400 2.534 5.881
Au 6.470 3.776 3.805
Au 3.923 5.689 8.648
Br -1.145 0.366 6.784
Br 1.402 2.789 1.941
Br 4.668 3.521 7.744
Br 7.215 5.944 2.901
Cl -3.382 1.368 8.559
Cl -0.836 1.787 3.716
Cl 0.245 4.589 5.035
Cl 2.792 4.876 0.192
Cl 0.035 3.257 8.018
Cl 2.581 6.208 3.176
Cl 3.488 0.102 6.510
Cl 6.035 3.053 1.667
Cl 3.278 1.434 9.493
Cl 5.825 1.721 4.650
Cl 6.905 4.523 5.970
Cl 9.452 4.942 1.127
```



15.
PrP2Ru3 | PBE | relaxed

Output
As for the calculated total energy: -7.981 eV per atom.

```
18
Lattice="7.944 -1.982 0.000 7.944 1.982 0.000 -2.995 0.000 9.216" Properties=species:S:1:pos:R:3 pbc="T T T"
Pr 0.000 0.000 0.000
Pr 0.406 0.000 6.437
Pr 12.485 0.000 2.779
P 2.746 0.000 1.217
P 4.069 0.000 5.068
P 6.709 0.000 2.051
P 6.183 0.000 7.165
P 8.823 0.000 4.148
P 10.145 0.000 7.999
Ru -0.306 0.000 3.081
Ru 2.272 0.000 3.620
Ru 4.984 0.000 0.327
Ru 3.582 0.000 7.330
Ru 6.446 0.000 4.608
Ru 9.310 0.000 1.886
Ru 7.908 0.000 8.889
Ru 10.620 0.000 5.596
Ru 13.198 0.000 6.134
```



16.
Ac3Pm4Ir4 | PBE | relaxed

Output
As for the calculated total energy: -6.597 eV per atom.

```
11
Lattice="-2.085 4.483 8.236 2.085 -4.483 8.236 2.085 4.483 -8.236" Properties=species:S:1:pos:R:3 pbc="T T T"
Ac 0.000 0.000 0.000
Ac 2.085 0.000 6.545
Ac 0.000 4.483 1.691
Pm 2.085 1.700 -2.795
Pm 2.085 1.700 2.795
Pm 0.000 2.784 5.441
Pm 0.000 2.784 11.031
Ir 0.000 0.000 4.035
Ir 2.085 2.469 0.000
Ir 0.000 2.014 8.236
Ir 0.000 0.000 12.437
```



17.
ZnCdBAu2 | PBE | relaxed

Output
As for the calculated total energy: -2.394 eV per atom.

```
5
Lattice="4.972 0.000 0.000 0.000 4.972 0.000 0.000 0.000 3.908" Properties=species:S:1:pos:R:3 pbc="T T T"
Zn 0.000 0.000 0.000
Cd 2.486 2.486 1.954
B 0.000 0.000 1.954
Au 0.000 2.486 0.000
Au 2.486 0.000 0.000
```



18.
TaTiCrFe | PBE | relaxed

Output
As for the calculated total energy: -9.626 eV per atom.

```
4
Lattice="3.030 0.000 0.000 0.000 3.030 0.000 0.000 0.000 6.087" Properties=species:S:1:pos:R:3 pbc="T T T"
Ta 0.000 0.000 0.000
Ti 0.000 0.000 3.038
Cr 1.515 1.515 4.535
Fe 1.515 1.515 1.529
```



19.
NaCd2CuSn | PBE | relaxed

Output
As for the calculated total energy: -2.188 eV per atom.

```
5
Lattice="5.098 0.000 0.000 0.000 5.098 0.000 0.000 0.000 5.033" Properties=species:S:1:pos:R:3 pbc="T T T"
Na 0.000 0.000 0.000
Cd 0.000 2.549 2.517
Cd 2.549 0.000 2.517
Cu 2.549 2.549 2.517
Sn 2.549 2.549 0.000
```



20.
AlF3 | PBE | relaxed

Output
As for the calculated total energy: -4.417 eV per atom.

```
4
Lattice="0.000 2.569 2.569 2.569 0.000 2.569 2.569 2.569 0.000" Properties=species:S:1:pos:R:3 pbc="T T T"
Al 0.000 0.000 0.000
F 1.285 1.285 1.285
F 2.569 2.569 2.569
F 3.854 3.854 3.854
```



21.
Sc3Ga3Ru | PBE | relaxed

Output
As for the calculated total energy: -5.920 eV per atom.

```
14
Lattice="5.292 -1.714 0.000 5.292 1.714 0.000 -4.071 0.000 14.411" Properties=species:S:1:pos:R:3 pbc="T T T"
Sc -1.408 0.000 5.392
Sc -2.434 0.000 13.339
Sc 1.548 0.000 3.365
Sc 4.965 0.000 11.046
Sc 8.947 0.000 1.072
Sc 7.921 0.000 9.019
Ga 1.863 0.000 6.840
Ga 0.406 0.000 13.361
Ga 2.015 0.000 11.235
Ga 4.498 0.000 3.176
Ga 6.107 0.000 1.050
Ga 4.650 0.000 7.571
Ru 0.394 0.000 9.130
Ru 6.119 0.000 5.281
```



22.
NdTl2Pt9 | PBE | relaxed

Output
As for the calculated total energy: -5.718 eV per atom.

```
12
Lattice="2.737 1.580 8.769 -2.737 1.580 8.769 0.000 -3.160 8.769" Properties=species:S:1:pos:R:3 pbc="T T T"
Nd 0.000 0.000 0.000
Tl 0.000 0.000 3.720
Tl 0.000 0.000 22.587
Pt -1.381 -0.798 10.971
Pt 0.000 0.000 8.768
Pt 0.000 -1.595 15.336
Pt -1.381 0.798 15.336
Pt 0.000 0.000 13.153
Pt 1.381 -0.798 10.971
Pt 0.000 1.595 10.971
Pt 0.000 0.000 17.539
Pt 1.381 0.798 15.336
```



23.
RhAuBr2 | PBE | relaxed

Output
As for the calculated total energy: -2.997 eV per atom.

```
4
Lattice="-1.883 1.883 6.729 1.883 -1.883 6.729 1.883 1.883 -6.729" Properties=species:S:1:pos:R:3 pbc="T T T"
Rh 0.000 0.000 0.000
Au 1.883 0.000 3.365
Br 0.000 0.000 6.729
Br 0.000 1.883 3.365
```